Entry 1:
Dy4Y3Sc2: relaxed, PBE.

Geometry as POSCAR:
```
Dy4Y3Sc2
1.0
6.257 1.950 1.396
2.928 11.051 1.879
2.928 5.339 9.856
Dy Sc Y
8 4 6
Direct
0.460 0.437 0.189
0.017 0.803 0.165
0.483 0.835 0.197
0.540 0.563 0.811
0.960 0.189 0.437
0.040 0.811 0.563
0.517 0.165 0.803
0.983 0.197 0.835
0.066 0.454 0.877
0.566 0.877 0.454
0.434 0.123 0.546
0.934 0.546 0.123
0.436 0.196 0.110
0.750 0.489 0.511
0.250 0.511 0.489
0.936 0.110 0.196
0.564 0.804 0.890
0.064 0.890 0.804
```

Calculated values
**E above lowest polymorph**: 0.000 eV/atom
**Space group**: C2/c, No. 15

***

Entry 2:
RePN2: relaxed, PBE.

Geometry as POSCAR:
```
RePN2
1.0
4.498 0.000 0.000
0.000 4.498 0.000
2.249 2.249 4.062
P N Re
2 4 2
Direct
0.500 0.500 0.000
0.250 0.750 0.500
0.875 0.795 0.750
0.545 0.125 0.250
0.375 0.455 0.750
0.205 0.625 0.250
0.000 0.000 0.000
0.750 0.250 0.500
```

Calculated values
**Energy**: -8.091 eV/atom
**Space group**: I-42d, No. 122

***

Entry 3:
Ac8Si3PtBr4: relaxed, PBE.

Geometry as POSCAR:
```
Ac8Si3PtBr4
1.0
9.140 0.000 0.000
0.000 9.243 0.068
-4.570 -4.567 6.464
Br Ac Si Pt
4 8 3 1
Direct
0.000 0.000 0.000
0.000 0.000 0.500
0.500 0.000 0.000
0.500 0.000 0.500
0.257 0.287 0.022
0.260 0.281 0.521
0.765 0.287 0.022
0.235 0.713 0.978
0.235 0.713 0.470
0.765 0.287 0.530
0.740 0.719 0.479
0.743 0.713 0.978
0.500 0.500 0.000
0.500 0.500 0.500
0.000 0.500 0.500
0.000 0.500 0.000
```

Calculated values
**Energy**: -4.953 eV/atom
**Space group**: R-3m, No. 166

***

Entry 4:
KInBr3: relaxed, PBE.

Geometry as POSCAR:
```
KInBr3
1.0
8.701 0.000 0.000
-4.351 7.535 0.000
0.000 0.000 11.064
K Br In
4 12 4
Direct
0.000 0.000 0.267
0.667 0.333 0.128
0.333 0.667 0.872
0.000 0.000 0.733
0.102 0.718 0.125
0.696 0.607 0.378
0.718 0.616 0.875
0.616 0.898 0.125
0.898 0.282 0.875
0.304 0.393 0.622
0.393 0.089 0.378
0.911 0.304 0.378
0.282 0.384 0.125
0.089 0.696 0.622
0.384 0.102 0.875
0.607 0.911 0.622
0.667 0.333 0.754
0.667 0.333 0.502
0.333 0.667 0.246
0.333 0.667 0.498
```

Calculated values
**Energy**: -2.958 eV/atom
**Space group**: P-3, No. 147